Li4VFe3O8: relaxed, PBE with a Hubbard U.

POSCAR file:
```
Li4VFe3O8
1.0
-0.923 -2.577 4.278
2.004 -4.703 -2.449
5.964 1.464 2.218
Li V Fe O
4 1 3 8
Cartesian
2.965 -2.049 5.412
1.151 -3.078 1.369
5.471 -3.969 4.782
3.585 -5.019 0.705
6.546 -4.272 1.791
0.030 -2.763 4.315
4.057 -2.367 2.487
2.494 -4.769 3.679
0.427 -1.147 1.639
3.629 -0.424 2.957
0.802 -4.001 3.108
3.703 -3.406 4.185
3.060 -3.163 0.978
6.109 -2.583 2.152
3.183 -6.048 2.380
6.351 -5.273 3.387
```

Summary:
- Polymorph energy (0 for the lowest one): 0.808 eV per formula unit
- Size of the total moment: 14.992 Bohr magnetons per cell
- SG: P1, No. 1